VASP calculation (PBE) on a geometry-optimized Y5As2P2 structure.

DOS(E_F) ... 15.15 states/eV per cell
Size of the total moment ... 0.0 μB/cell
Formation enthalpy at 0 K ... -11.96 eV per formula unit
Space group ... Cmce

Geometry as extended XYZ:
```
18
Lattice="7.175 -3.779 0.000 7.175 3.779 0.000 0.000 0.000 7.650" Properties=species:S:1:pos:R:3 pbc="T T T"
Y 0.000 0.000 0.000
Y 5.262 2.566 5.033
Y 5.262 1.213 1.208
Y 9.089 2.566 5.033
Y 9.089 1.213 1.208
Y 7.175 0.000 3.825
Y 5.262 -1.213 6.442
Y 5.262 -2.566 2.617
Y 9.089 -1.213 6.442
Y 9.089 -2.566 2.617
As 2.865 0.000 0.000
As 4.310 0.000 3.825
As 10.041 0.000 3.825
As 11.486 0.000 0.000
P 7.175 2.682 2.720
P 7.175 1.097 6.545
P 7.175 -1.097 1.105
P 7.175 -2.682 4.930
```